Entry 1:
AcTiBi2: optimized geometry, PBE.

abc: 5.371 5.371 4.255
angles: 90.00 90.00 90.00
Fractional coordinates of all 4 atoms:
Ac 0.000 0.000 0.000
Ti 0.500 0.500 0.000
Bi 0.000 0.500 0.500
Bi 0.500 0.000 0.500

Values from the calculation:
space group	P4/mmm
uncorrected energy	-20.422	eV/cell
ΔE_f	-0.16	eV/atom

Entry 2:
Zr2HgPb: optimized geometry, PBE.

abc: 6.150 6.150 5.342
angles: 115.72 115.72 30.96
Fractional coordinates of all 4 atoms:
Zr 0.000 0.000 0.000
Zr 0.746 0.746 0.119
Hg 0.260 0.260 0.623
Pb 0.507 0.507 0.506

Values from the calculation:
space group	Cm
uncorrected energy	-21.521	eV/cell
ΔE_f	-0.10	eV/atom

It is found that the offset from the most stable computed form values, taken in the order of the records, are 106 72 meV/atom.